(1)
Below is an optimized crystal structure of NdMgInBi, with properties calculated at the PBE level.

## Properties
N(E_F) in states/eV/f.u.: 3.713
ΔE_f in eV per atom: -0.277
Symmetry: F-43m (216)

a b c (Å): 5.429 5.429 5.429
angles (deg): 60.00 60.00 60.00
Atoms (fractional coordinates):
Mg 0.250 0.250 0.250
Nd 0.750 0.750 0.750
Bi 0.500 0.500 0.500
In 0.000 0.000 0.000



(2)
Below is an optimized crystal structure of MgIn2NiBi, with properties calculated at the PBE level.

## Properties
N(E_F) in states/eV/f.u.: 3.335
ΔE_f in eV per atom: 0.018
Symmetry: P4/mmm (123)

a b c (Å): 4.961 4.961 5.037
angles (deg): 90.00 90.00 90.00
Atoms (fractional coordinates):
Ni 0.000 0.000 0.000
Mg 0.000 0.000 0.500
Bi 0.500 0.500 0.500
In 0.000 0.500 0.000
In 0.500 0.000 0.000



(3)
Below is an optimized crystal structure of MgIn2BiO6, with properties calculated at the PBE level.

## Properties
N(E_F) in states/eV/f.u.: 3.288
Symmetry: R3 (146)
ΔE_f (raw) in eV per atom: -1.576

a b c (Å): 5.592 5.592 5.889
angles (deg): 61.65 61.65 60.00
Each line ends with the local moment (μB).
Atoms (fractional coordinates):
Mg 0.811 0.811 0.567  0.00
In 0.521 0.521 0.436  0.00
In 0.026 0.026 0.922  -0.01
Bi 0.309 0.308 0.074  0.09
O 0.633 0.206 0.257  0.12
O 0.206 0.904 0.257  0.12
O 0.904 0.633 0.257  0.12
O 0.424 0.715 0.749  0.06
O 0.715 0.112 0.749  0.06
O 0.112 0.424 0.749  0.06



(4)
Below is an optimized crystal structure of Mg2InBiO6, with properties calculated at the PBE level.

## Properties
Symmetry: R3 (146)
ΔE_f (raw) in eV per atom: -1.783

a b c (Å): 5.414 5.414 5.756
angles (deg): 61.94 61.94 60.00
Atoms (fractional coordinates):
Mg 0.521 0.521 0.438
Mg 0.019 0.019 0.942
In 0.806 0.806 0.581
Bi 0.313 0.313 0.061
O 0.621 0.223 0.247
O 0.223 0.909 0.247
O 0.909 0.621 0.247
O 0.399 0.721 0.750
O 0.721 0.129 0.750
O 0.129 0.399 0.750



(5)
Below is an optimized crystal structure of Mg7InBi2Pb2, with properties calculated at the PBE level.

## Properties
N(E_F) in states/eV/f.u.: 4.732
ΔE_f in eV per atom: -0.028
Symmetry: C2/m (12)

a b c (Å): 4.716 4.716 15.942
angles (deg): 71.95 71.95 89.91
Atoms (fractional coordinates):
Mg 0.500 0.500 0.000
Mg 0.249 0.249 0.500
Mg 0.751 0.751 0.500
Mg 0.850 0.349 0.149
Mg 0.349 0.850 0.149
Mg 0.651 0.150 0.851
Mg 0.150 0.651 0.851
In 0.000 0.000 0.000
Bi 0.688 0.688 0.313
Bi 0.312 0.312 0.687
Pb 0.811 0.811 0.688
Pb 0.189 0.189 0.312



(6)
Below is an optimized crystal structure of Mg3InBiPb, with properties calculated at the PBE level.

## Properties
N(E_F) in states/eV/f.u.: 2.312
ΔE_f in eV per atom: -0.056
Symmetry: C2/m (12)

a b c (Å): 4.657 9.474 7.695
angles (deg): 94.44 90.00 104.23
Atoms (fractional coordinates):
Mg 0.779 0.558 0.159
Mg 0.849 0.699 0.756
Mg 0.528 0.057 0.302
Mg 0.151 0.301 0.244
Mg 0.472 0.943 0.698
Mg 0.221 0.442 0.841
In 0.929 0.858 0.386
In 0.071 0.142 0.614
Bi 0.379 0.759 0.019
Bi 0.621 0.241 0.981
Pb 0.688 0.377 0.535
Pb 0.312 0.623 0.465



| no. | energy (eV/atom) |
| --- | --- |
| 1 | -3.52 |
| 2 | -3.33 |
| 3 | -5.65 |
| 4 | -5.74 |
| 5 | -2.45 |
| 6 | -2.57 |